[1]
Material: Ba3Sr4Pd2
Method: DFT, GGA-PBE
State: relaxed

Calculated values
For the total DFT energy (no corrections), the calculation gives -2.811 eV/atom. The value obtained for the magnetization is 0.0 μB per formula unit. For the formation enthalpy at 0 K, the calculation gives -0.27 eV per atom.

a = 20.9766 Å, b = 4.4193 Å, c = 10.6620 Å
α = 90.00°, β = 116.67°, γ = 90.00°
Last column: nearest neighbours and their distance in Å.
Space group C2/m (No. 12)
Symmetry-distinct sites (fractional):
Ba: 0.0000 0.0000 0.0000 [2 per cell]  2 Sr 4.13, 2 Ba 4.42
Ba: 0.1443 0.5000 0.8277 [4 per cell]  1 Pd 3.13
Sr: 0.0748 0.0000 0.4307 [4 per cell]  2 Pd 3.01
Sr: 0.2080 0.5000 0.3067 [4 per cell]  3 Pd 3.05-3.14
Pd: 0.1802 0.5000 0.5731 [4 per cell]  5 Sr 3.01-3.14, 1 Ba 3.13

[2]
Material: Ba3SrPd
Method: DFT, GGA-PBE
State: relaxed

Calculated values
For the total DFT energy (no corrections), the calculation gives -1.580 eV/atom. The value obtained for the magnetization is 4.0 μB per formula unit. For the offset from the most stable computed form, the calculation gives 1222 meV per atom. For the formation enthalpy at 0 K, the calculation gives 0.95 eV per atom.

a = 6.8081 Å, b = 6.8081 Å, c = 6.8081 Å
α = 90.00°, β = 90.00°, γ = 90.00°
Last column: nearest neighbours and their distance in Å.
Space group Pm-3m (No. 221)
Symmetry-distinct sites (fractional):
Ba: 0.0000 0.0000 0.5000 [3 per cell]  2 Sr 3.40
Sr: 0.0000 0.0000 0.0000 [1 per cell]  6 Ba 3.40
Pd: 0.5000 0.5000 0.5000 [1 per cell]  12 Ba 4.81

[3]
Material: Ba2SrPd2
Method: DFT, GGA-PBE
State: relaxed

Calculated values
For the total DFT energy (no corrections), the calculation gives -3.643 eV/atom. The value obtained for the magnetization is 0.0 μB per formula unit. For the offset from the most stable computed form, the calculation gives 0 meV per atom. For the formation enthalpy at 0 K, the calculation gives -0.46 eV per atom.

a = 8.5013 Å, b = 8.5013 Å, c = 4.6942 Å
α = 90.00°, β = 90.00°, γ = 90.00°
Last column: nearest neighbours and their distance in Å.
Space group P4/mbm (No. 127)
Symmetry-distinct sites (fractional):
Ba: 0.1615 0.3385 0.0000 [4 per cell]  6 Pd 3.40-3.47
Sr: 0.0000 0.0000 0.5000 [2 per cell]  4 Pd 3.35
Pd: 0.1261 0.6261 0.5000 [4 per cell]  1 Pd 3.03, 2 Sr 3.35

[4]
Material: BaSr6Pd2
Method: DFT, GGA-PBE
State: relaxed

Calculated values
For the total DFT energy (no corrections), the calculation gives -2.701 eV/atom. The value obtained for the magnetization is 0.0 μB per formula unit. For the formation enthalpy at 0 K, the calculation gives -0.21 eV per atom.

a = 8.3617 Å, b = 8.3617 Å, c = 22.1991 Å
α = 90.00°, β = 90.00°, γ = 120.00°
Last column: nearest neighbours and their distance in Å.
Space group R3 (No. 146, hexagonal axes)
Symmetry-distinct sites (fractional):
Ba: 0.0000 0.0000 0.0000 [3 per cell]  12 Sr 4.40-4.92, 3 Pd 4.83
Sr: 0.1440 0.3420 0.4318 [9 per cell]  2 Pd 2.98-3.08
Sr: 0.1496 0.8114 0.2528 [9 per cell]  2 Pd 2.98-3.11
Pd: 0.0000 0.0000 0.5059 [3 per cell]  6 Sr 2.98
Pd: 0.0000 0.0000 0.6759 [3 per cell]  6 Sr 3.08-3.11

[5]
Material: Ba3Sr2Pd
Method: DFT, GGA-PBE
State: relaxed

Calculated values
For the total DFT energy (no corrections), the calculation gives -2.589 eV/atom. The value obtained for the magnetization is 0.0 μB per formula unit. For the formation enthalpy at 0 K, the calculation gives -0.20 eV per atom.

a = 22.6845 Å, b = 6.3527 Å, c = 4.4959 Å
α = 90.00°, β = 101.30°, γ = 90.00°
Last column: nearest neighbours and their distance in Å.
Space group C2/m (No. 12)
Symmetry-distinct sites (fractional):
Ba: 0.0000 0.0000 0.0000 [2 per cell]  2 Pd 3.18
Ba: 0.1009 0.5000 0.6000 [4 per cell]  2 Pd 3.18
Sr: 0.2029 0.0000 0.2022 [4 per cell]  6 Ba 4.37-4.51, 6 Sr 4.42-4.50
Pd: 0.0000 0.5000 0.0000 [2 per cell]  6 Ba 3.18

[6]
Material: BaSr2Pd
Method: DFT, GGA-PBE
State: relaxed

Calculated values
For the total DFT energy (no corrections), the calculation gives -2.585 eV/atom. The value obtained for the magnetization is 0.0 μB per formula unit. For the offset from the most stable computed form, the calculation gives 388 meV per atom. For the formation enthalpy at 0 K, the calculation gives 0.03 eV per atom.

a = 8.2813 Å, b = 8.2813 Å, c = 8.2813 Å
α = 90.00°, β = 90.00°, γ = 90.00°
Last column: nearest neighbours and their distance in Å.
Space group Fm-3m (No. 225)
Symmetry-distinct sites (fractional):
Ba: 0.0000 0.0000 0.0000 [4 per cell]  8 Sr 3.59
Sr: 0.2500 0.2500 0.2500 [8 per cell]  4 Pd 3.59, 4 Ba 3.59
Pd: 0.0000 0.0000 0.5000 [4 per cell]  8 Sr 3.59

[7]
Material: BaSr2Pd
Method: DFT, GGA-PBE
State: relaxed

Calculated values
For the total DFT energy (no corrections), the calculation gives -2.973 eV/atom. The value obtained for the magnetization is 0.0 μB per formula unit. For the offset from the most stable computed form, the calculation gives 0 meV per atom. For the formation enthalpy at 0 K, the calculation gives -0.35 eV per atom.

a = 4.4115 Å, b = 14.2545 Å, c = 10.5644 Å
α = 90.00°, β = 90.00°, γ = 90.00°
Last column: nearest neighbours and their distance in Å.
Space group Cmcm (No. 63)
Symmetry-distinct sites (fractional):
Ba: 0.0000 0.0815 0.2500 [4 per cell]  2 Pd 3.23
Sr: 0.0000 0.3492 0.0710 [8 per cell]  2 Pd 3.25
Pd: 0.0000 0.2526 0.7500 [4 per cell]  2 Ba 3.23, 4 Sr 3.25

[8]
Material: BaSr5Pd3
Method: DFT, GGA-PBE
State: relaxed

Calculated values
For the total DFT energy (no corrections), the calculation gives -3.323 eV/atom. The value obtained for the magnetization is 0.0 μB per formula unit. For the formation enthalpy at 0 K, the calculation gives -0.44 eV per atom.

a = 7.2877 Å, b = 4.5720 Å, c = 21.8630 Å
α = 90.00°, β = 91.07°, γ = 90.00°
Last column: nearest neighbours and their distance in Å.
Space group P2/m (No. 10)
Symmetry-distinct sites (fractional):
Ba: 0.2067 0.0000 0.2669 [2 per cell]  3 Pd 3.17-3.18
Sr: 0.1795 0.0000 0.9288 [2 per cell]  3 Pd 3.07
Sr: 0.2224 0.0000 0.6037 [2 per cell]  3 Pd 3.07
Sr: 0.2809 0.5000 0.4393 [2 per cell]  3 Pd 3.07-3.08
Sr: 0.2927 0.5000 0.7688 [2 per cell]  3 Pd 3.06-3.07
Sr: 0.3207 0.5000 0.0920 [2 per cell]  3 Pd 3.05-3.08
Pd: 0.0000 0.5000 0.0000 [1 per cell]  6 Sr 3.05-3.07
Pd: 0.0095 0.5000 0.6640 [2 per cell]  4 Sr 3.06-3.07, 2 Ba 3.17
Pd: 0.4907 0.0000 0.8362 [2 per cell]  5 Sr 3.07-3.08, 1 Ba 3.18
Pd: 0.5000 0.0000 0.5000 [1 per cell]  6 Sr 3.07-3.08

[9]
Material: BaSrPd
Method: DFT, GGA-PBE
State: relaxed

Calculated values
For the total DFT energy (no corrections), the calculation gives -3.307 eV/atom. The value obtained for the magnetization is 0.0 μB per formula unit. For the offset from the most stable computed form, the calculation gives 50 meV per atom. For the formation enthalpy at 0 K, the calculation gives -0.37 eV per atom.

a = 3.9130 Å, b = 7.8205 Å, c = 7.9131 Å
α = 104.70°, β = 104.21°, γ = 90.03°
Last column: nearest neighbours and their distance in Å.
Space group P-1 (No. 2)
Symmetry-distinct sites (fractional):
Ba: 0.1232 0.0627 0.2478 [2 per cell]  4 Pd 3.40-3.42, 1 Ba 3.67
Sr: 0.1227 0.5596 0.2463 [2 per cell]  4 Pd 3.22-3.24
Pd: 0.4990 0.2690 0.9984 [2 per cell]  4 Sr 3.22-3.24, 4 Ba 3.40-3.42

[10]
Material: BaSr2Pd
Method: DFT, GGA-PBE
State: relaxed

Calculated values
For the total DFT energy (no corrections), the calculation gives -2.838 eV/atom. The value obtained for the magnetization is 0.0 μB per formula unit. For the offset from the most stable computed form, the calculation gives 135 meV per atom. For the formation enthalpy at 0 K, the calculation gives -0.22 eV per atom.

a = 4.3020 Å, b = 4.3020 Å, c = 34.8096 Å
α = 90.00°, β = 90.00°, γ = 120.00°
Last column: nearest neighbours and their distance in Å.
Space group R-3m (No. 166, hexagonal axes)
Symmetry-distinct sites (fractional):
Ba: 0.0000 0.0000 0.0000 [3 per cell]  2 Sr 4.06, 6 Ba 4.30
Sr: 0.0000 0.0000 0.1167 [6 per cell]  3 Pd 3.03
Pd: 0.0000 0.0000 0.5000 [3 per cell]  6 Sr 3.03

[11]
Material: Ba6SrPd4
Method: DFT, GGA-PBE
State: relaxed

Calculated values
For the total DFT energy (no corrections), the calculation gives -3.396 eV/atom. The value obtained for the magnetization is 0.0 μB per formula unit. For the formation enthalpy at 0 K, the calculation gives -0.31 eV per atom.

a = 9.8113 Å, b = 9.8100 Å, c = 10.0168 Å
α = 90.00°, β = 119.22°, γ = 90.00°
Last column: nearest neighbours and their distance in Å.
Space group Cm (No. 8)
Symmetry-distinct sites (fractional):
Ba: 0.0000 0.0000 0.0000 [2 per cell]  5 Pd 3.29-3.65
Ba: 0.0448 0.5000 0.9985 [2 per cell]  5 Pd 3.28-3.67
Ba: 0.1353 0.2272 0.7244 [4 per cell]  5 Pd 3.29-3.67
Ba: 0.2048 0.2510 0.3618 [4 per cell]  4 Pd 3.37, 2 Sr 3.47
Sr: 0.4537 0.0000 0.3620 [2 per cell]  4 Pd 3.13, 4 Ba 3.47
Pd: 0.3023 0.5000 0.6240 [2 per cell]  1 Sr 3.13, 3 Ba 3.29-3.37
Pd: 0.3239 0.2177 0.1000 [4 per cell]  1 Sr 3.13, 3 Ba 3.29-3.37
Pd: 0.3660 0.0000 0.6232 [2 per cell]  1 Sr 3.13, 3 Ba 3.28-3.37

[12]
Material: BaSr2Pd
Method: DFT, GGA-PBE
State: relaxed

Calculated values
For the total DFT energy (no corrections), the calculation gives -2.809 eV/atom. The value obtained for the magnetization is 0.0 μB per formula unit. For the offset from the most stable computed form, the calculation gives 164 meV per atom. For the formation enthalpy at 0 K, the calculation gives -0.19 eV per atom.

a = 10.3068 Å, b = 10.3068 Å, c = 6.8004 Å
α = 90.00°, β = 90.00°, γ = 90.00°
Last column: nearest neighbours and their distance in Å.
Space group I-42d (No. 122)
Symmetry-distinct sites (fractional):
Ba: 0.0000 0.0000 0.0000 [4 per cell]  2 Pd 3.40
Sr: 0.1387 0.2500 0.6250 [8 per cell]  2 Pd 3.07
Pd: 0.0000 0.0000 0.5000 [4 per cell]  4 Sr 3.07, 2 Ba 3.40

> Which value of magnetization does entry 12 give?

0.0 μB per formula unit